Entry 1:
A plane-wave DFT calculation with PBEsol was carried out for an optimized crystal structure of Cd2MoSe.

a = 3.1490 Å, b = 4.5105 Å, c = 5.1237 Å
α = 90.00°, β = 90.00°, γ = 90.00°
Last column: nearest neighbours and their distance in Å.
Space group Pmmm (No. 47)
Symmetry-distinct sites (fractional):
Cd  0.0000  0.0000  0.0000 [1 per cell]  4 Cd 2.75, 4 Se 3.01
Cd  0.5000  0.5000  0.0000 [1 per cell]  4 Cd 2.75, 4 Mo 3.01
Mo  0.0000  0.5000  0.5000 [1 per cell]  4 Se 2.75, 4 Cd 3.01
Se  0.5000  0.0000  0.5000 [1 per cell]  4 Mo 2.75, 4 Cd 3.01

Calculated values
energy relative to the lowest polymorph listed for this composition	192	meV/atom
total magnetization	0.00	μB/f.u.
E_form (uncorrected)	434	meV/atom
E_tot	-16.276	eV for the cell shown

Entry 2:
A plane-wave DFT calculation with PBEsol was carried out for an optimized crystal structure of CdSi2Mo.

a = 3.2641 Å, b = 3.2641 Å, c = 5.8637 Å
α = 90.00°, β = 90.00°, γ = 90.00°
Last column: nearest neighbours and their distance in Å.
Space group P4/mmm (No. 123)
Symmetry-distinct sites (fractional):
Cd  0.0000  0.0000  0.0000 [1 per cell]  8 Si 2.86, 2 Mo 2.93
Si  0.5000  0.5000  0.2886 [2 per cell]  1 Si 2.48, 4 Mo 2.62
Mo  0.0000  0.0000  0.5000 [1 per cell]  8 Si 2.62, 2 Cd 2.93

Calculated values
total magnetization	0.00	μB/f.u.
E_form (uncorrected)	14	meV/atom
E_tot	-24.400	eV for the cell shown

Entry 3:
A plane-wave DFT calculation with PBEsol was carried out for an optimized crystal structure of CdSi2Mo.

a = 6.4424 Å, b = 6.9784 Å, c = 2.7621 Å
α = 90.00°, β = 90.00°, γ = 90.00°
Last column: nearest neighbours and their distance in Å.
Space group Cmmm (No. 65)
Symmetry-distinct sites (fractional):
Cd  0.0000  0.0000  0.0000 [2 per cell]  8 Si 2.75, 2 Cd 2.76
Si  0.2500  0.2500  0.5000 [4 per cell]  4 Cd 2.75, 4 Mo 2.75, 2 Si 2.76
Mo  0.0000  0.5000  0.0000 [2 per cell]  8 Si 2.75, 2 Mo 2.76

Calculated values
total magnetization	0.00	μB/f.u.
E_form (uncorrected)	331	meV/atom
E_tot	-46.272	eV for the cell shown